(1)
## SmDy3Y2S6 (GGA-PBE)

Data for a relaxed SmDy3Y2S6 crystal.

Summary:
Magnetic moment, μB per cell: 0.0
DOS(E_F), states/eV per atom: 0.415

Lattice parameters (Å, degrees): 6.807 6.807 6.802 99.57 99.57 120.20
Positions (direct):
1 Sm 0.000 0.000 0.000
2 Dy 0.164 0.836 0.500
3 Dy 0.836 0.164 0.500
4 Dy 0.500 0.500 0.500
5 Y 0.334 0.666 0.000
6 Y 0.666 0.334 0.000
7 S 0.915 0.577 0.745
8 S 0.746 0.746 0.253
9 S 0.085 0.423 0.255
10 S 0.577 0.915 0.745
11 S 0.254 0.254 0.747
12 S 0.423 0.085 0.255



(2)
## SmDy2YS4 (GGA-PBE)

Data for a relaxed SmDy2YS4 crystal.

Summary:
Magnetic moment, μB per cell: 0.0
DOS(E_F), states/eV per atom: 0.630

Lattice parameters (Å, degrees): 3.900 6.844 6.833 70.95 90.00 90.00
Positions (direct):
1 Sm 0.500 0.500 0.000
2 Dy 0.000 0.000 0.000
3 Dy 0.500 0.000 0.500
4 Y 0.000 0.500 0.500
5 S 0.000 0.757 0.744
6 S 0.000 0.243 0.256
7 S 0.500 0.754 0.252
8 S 0.500 0.246 0.748



(3)
## SmDyY4S8 (GGA-PBE)

Data for a relaxed SmDyY4S8 crystal.

Summary:
Magnetic moment, μB per cell: 0.0
DOS(E_F), states/eV per atom: 0.619

Lattice parameters (Å, degrees): 8.091 8.091 8.089 59.99 59.99 60.00
Positions (direct):
1 Sm 0.375 0.375 0.875
2 Dy 0.000 0.000 0.001
3 Y 0.625 0.625 0.126
4 Y 0.999 0.502 0.499
5 Y 0.502 0.999 0.499
6 Y 0.999 0.999 0.499
7 S 0.240 0.779 0.741
8 S 0.779 0.240 0.741
9 S 0.240 0.240 0.741
10 S 0.240 0.240 0.279
11 S 0.758 0.228 0.256
12 S 0.228 0.758 0.256
13 S 0.758 0.758 0.256
14 S 0.757 0.757 0.729



(4)
## Sm2DyYS4 (GGA-PBE)

Data for a relaxed Sm2DyYS4 crystal.

Summary:
Magnetic moment, μB per cell: 0.0
DOS(E_F), states/eV per atom: 0.609

Lattice parameters (Å, degrees): 3.920 6.847 6.922 108.98 90.00 90.00
Positions (direct):
1 Sm 0.500 0.000 0.500
2 Sm 0.000 0.500 0.500
3 Dy 0.500 0.500 0.000
4 Y 0.000 0.000 0.000
5 S 0.500 0.247 0.240
6 S 0.500 0.753 0.760
7 S 0.000 0.254 0.760
8 S 0.000 0.746 0.240



(5)
## SmDyY2S6 (GGA-PBE)

Data for a relaxed SmDyY2S6 crystal.

Summary:
Magnetic moment, μB per cell: 0.0
DOS(E_F), states/eV per atom: 0.000

Lattice parameters (Å, degrees): 6.963 6.963 7.388 61.88 61.88 59.99
Positions (direct):
1 Sm 0.813 0.813 0.562
2 Dy 0.316 0.316 0.053
3 Y 0.517 0.517 0.448
4 Y 0.015 0.015 0.954
5 S 0.615 0.220 0.249
6 S 0.220 0.916 0.249
7 S 0.916 0.615 0.249
8 S 0.406 0.718 0.751
9 S 0.718 0.125 0.751
10 S 0.125 0.406 0.751



(6)
## Sm3Dy4YS8 (GGA-PBE)

Data for a relaxed Sm3Dy4YS8 crystal.

Summary:
Magnetic moment, μB per cell: 0.0
DOS(E_F), states/eV per atom: 0.547

Lattice parameters (Å, degrees): 7.882 7.907 7.882 119.89 120.00 90.00
Positions (direct):
1 Sm 0.500 0.500 0.000
2 Sm 0.500 0.500 0.500
3 Sm 0.000 0.500 0.500
4 Dy 0.500 0.000 0.000
5 Dy 0.500 0.000 0.500
6 Dy 0.000 0.000 0.000
7 Dy 0.000 0.000 0.500
8 Y 0.000 0.500 0.000
9 S 0.251 0.757 0.007
10 S 0.251 0.757 0.501
11 S 0.246 0.239 0.493
12 S 0.756 0.757 0.007
13 S 0.244 0.243 0.993
14 S 0.754 0.761 0.507
15 S 0.749 0.243 0.499
16 S 0.749 0.243 0.993



(7)
## Sm3DyY2S6 (GGA-PBE)

Data for a relaxed Sm3DyY2S6 crystal.

Summary:
Magnetic moment, μB per cell: 0.0
DOS(E_F), states/eV per atom: 0.436

Lattice parameters (Å, degrees): 6.852 6.852 6.883 99.52 99.52 120.18
Positions (direct):
1 Sm 0.167 0.833 0.500
2 Sm 0.833 0.167 0.500
3 Sm 0.500 0.500 0.500
4 Dy 0.000 0.000 0.000
5 Y 0.333 0.667 0.000
6 Y 0.667 0.333 0.000
7 S 0.920 0.587 0.759
8 S 0.748 0.748 0.241
9 S 0.080 0.413 0.241
10 S 0.587 0.920 0.759
11 S 0.252 0.252 0.759
12 S 0.413 0.080 0.241



(8)
## Sm2DyZnS5 (GGA-PBE)

Data for a relaxed Sm2DyZnS5 crystal.

Summary:
Magnetic moment, μB per cell: 0.0
DOS(E_F), states/eV per atom: 0.091

Lattice parameters (Å, degrees): 3.841 8.637 11.908 90.00 90.00 102.85
Positions (direct):
1 Sm 0.868 0.736 0.820
2 Sm 0.115 0.229 0.684
3 Sm 0.132 0.264 0.320
4 Sm 0.885 0.771 0.184
5 Dy 0.803 0.607 0.516
6 Dy 0.197 0.393 0.016
7 Zn 0.544 0.089 0.946
8 Zn 0.456 0.911 0.446
9 S 0.356 0.713 0.005
10 S 0.682 0.365 0.853
11 S 0.492 0.984 0.770
12 S 0.291 0.582 0.678
13 S 0.962 0.924 0.552
14 S 0.644 0.287 0.505
15 S 0.318 0.635 0.353
16 S 0.508 0.016 0.270
17 S 0.709 0.418 0.178
18 S 0.038 0.076 0.052



Sequential calculated volume output: 256.79, 172.39, 374.40, 175.67, 260.22, 347.92, 263.59, 385.20 Å³ per cell
Sequential formation energy from raw total energies output: -24.03, -15.99, -27.14, -16.08, -20.55, -32.02, -24.18, -15.60 eV/f.u.